(1)
Compound: CaNdEuSbO6
Source: Alexandria via LeMat-Bulk
Functional: PBE-GGA
Structure: optimized geometry

The value obtained for the uncorrected formation energy is -2.42 eV/atom.

The structure belongs to space group F-43m (No. 216); the cell edges are 8.526, 8.526 and 8.526 Å and the angles 90.00°, 90.00° and 90.00°. Symmetry generates all atoms from Ca at (0.000, 0.000, 0.000), Nd at (0.250, 0.250, 0.250), Eu at (0.000, 0.000, 0.500), Sb at (0.250, 0.250, 0.750) and O at (0.017, 0.250, 0.750).

***

(2)
Compound: CaNdEuPb
Source: Alexandria via LeMat-Bulk
Functional: PBE-GGA
Structure: optimized geometry

The energy of formation is -0.21 eV per atom.

The structure belongs to space group F-43m (No. 216); the cell edges are 8.092, 8.092 and 8.092 Å and the angles 90.00°, 90.00° and 90.00°. Symmetry generates all atoms from Ca at (0.000, 0.000, 0.000), Nd at (0.250, 0.250, 0.250), Eu at (0.250, 0.250, 0.750) and Pb at (0.000, 0.000, 0.500).

***

(3)
Compound: CaPrNdEu
Source: Alexandria via LeMat-Bulk
Functional: PBE-GGA
Structure: optimized geometry

The energy of formation is 0.11 eV per atom.

The structure belongs to space group F-43m (No. 216); the cell edges are 8.489, 8.489 and 8.489 Å and the angles 90.00°, 90.00° and 90.00°. Symmetry generates all atoms from Ca at (0.000, 0.000, 0.000), Pr at (0.250, 0.250, 0.250), Nd at (0.000, 0.000, 0.500) and Eu at (0.250, 0.250, 0.750).

***

(4)
Compound: CaNdEuSc
Source: Alexandria via LeMat-Bulk
Functional: PBE-GGA
Structure: optimized geometry

The energy of formation is 0.17 eV per atom.

The structure belongs to space group F-43m (No. 216); the cell edges are 8.193, 8.193 and 8.193 Å and the angles 90.00°, 90.00° and 90.00°. Symmetry generates all atoms from Ca at (0.000, 0.000, 0.000), Nd at (0.250, 0.250, 0.250), Eu at (0.250, 0.250, 0.750) and Sc at (0.000, 0.000, 0.500).

***

Number 1: electronic total energy -7.513 eV per atom, total magnetization 0.70 μB/atom. Number 2: electronic total energy -5.395 eV per atom, total magnetization 1.85 μB/atom. Number 3: electronic total energy -5.343 eV per atom, total magnetization 1.80 μB/atom. Number 4: electronic total energy -5.673 eV per atom, total magnetization 1.79 μB/atom.